A relaxed structure of TaOsCl2. Source: Alexandria, functional GGA-PBE.

extended XYZ file:
```
8
Lattice="-2.800 2.800 4.909 2.800 -2.800 4.909 2.800 2.800 -4.909" Properties=species:S:1:pos:R:3 pbc="T T T"
Ta 0.000 0.000 0.000
Ta 0.000 2.800 2.455
Os 2.800 0.000 2.455
Os 0.000 0.000 4.909
Cl 1.400 -1.334 3.682
Cl 1.466 1.400 1.227
Cl 1.400 4.134 -1.227
Cl 1.334 1.400 6.136
```

- VASP energy: -5.414 eV per atom
- Polymorph energy (0 for the lowest one): 1646 meV per atom

A relaxed structure of TaOsCl2. Source: Alexandria, functional GGA-PBE.

extended XYZ file:
```
4
Lattice="3.992 0.000 0.000 0.000 3.992 0.000 0.000 0.000 4.165" Properties=species:S:1:pos:R:3 pbc="T T T"
Ta 0.000 0.000 0.000
Os 1.996 1.996 0.000
Cl 0.000 1.996 2.082
Cl 1.996 0.000 2.082
```

- VASP energy: -5.583 eV per atom
- Polymorph energy (0 for the lowest one): 1477 meV per atom

A relaxed structure of TaOs2Cl. Source: Alexandria, functional GGA-PBE.

extended XYZ file:
```
4
Lattice="-1.929 1.929 4.248 1.929 -1.929 4.248 1.929 1.929 -4.248" Properties=species:S:1:pos:R:3 pbc="T T T"
Ta 0.000 0.000 0.000
Os 0.000 0.000 4.248
Os 0.000 1.929 2.124
Cl 1.929 0.000 2.124
```

- VASP energy: -7.987 eV per atom
- Polymorph energy (0 for the lowest one): 861 meV per atom

A relaxed structure of TbOsCl. Source: Alexandria, functional GGA-PBE.

extended XYZ file:
```
6
Lattice="2.066 1.193 10.828 -2.066 1.193 10.828 0.000 -2.385 10.828" Properties=species:S:1:pos:R:3 pbc="T T T"
Tb 0.000 0.000 2.076
Tb 0.000 0.000 30.407
Os 0.000 0.000 11.019
Os 0.000 0.000 21.464
Cl 0.000 0.000 7.127
Cl 0.000 0.000 25.356
```

- VASP energy: -7.021 eV per atom
- Polymorph energy (0 for the lowest one): 0 meV per atom

A relaxed structure of TbOsCl. Source: Alexandria, functional GGA-PBE.

extended XYZ file:
```
6
Lattice="3.426 -1.980 0.000 3.426 1.980 0.000 -3.400 0.000 12.008" Properties=species:S:1:pos:R:3 pbc="T T T"
Tb 0.586 0.000 3.484
Tb 2.867 0.000 8.524
Os 0.584 0.000 6.401
Os 2.869 0.000 5.607
Cl -1.700 0.000 10.176
Cl 5.153 0.000 1.833
```

- VASP energy: -6.843 eV per atom
- Polymorph energy (0 for the lowest one): 179 meV per atom

A relaxed structure of Tb3OsCl3. Source: Alexandria, functional GGA-PBE.

extended XYZ file:
```
14
Lattice="8.298 0.000 0.000 0.000 4.104 0.000 -0.176 0.000 11.637" Properties=species:S:1:pos:R:3 pbc="T T T"
Tb 0.793 1.026 1.992
Tb 1.205 1.026 7.543
Tb 2.176 3.078 4.681
Tb 5.947 1.026 6.957
Tb 6.917 3.078 4.094
Tb 7.329 3.078 9.645
Os 0.312 1.026 4.730
Os 7.810 3.078 6.907
Cl 0.820 1.026 10.526
Cl 2.640 3.078 1.817
Cl 3.555 3.078 7.272
Cl 4.568 1.026 4.365
Cl 5.482 1.026 9.820
Cl 7.302 3.078 1.111
```

- VASP energy: -5.804 eV per atom

A relaxed structure of TcOsCl2. Source: Alexandria, functional GGA-PBE.

extended XYZ file:
```
4
Lattice="2.982 0.000 0.000 0.000 4.240 0.000 -0.356 0.000 4.999" Properties=species:S:1:pos:R:3 pbc="T T T"
Tc 0.000 0.000 0.000
Os 1.313 0.000 2.500
Cl 0.678 2.120 1.251
Cl 1.948 2.120 3.749
```

- VASP energy: -5.322 eV per atom
- Polymorph energy (0 for the lowest one): 1021 meV per atom

A relaxed structure of TcOsCl3. Source: Alexandria, functional GGA-PBE.

extended XYZ file:
```
5
Lattice="4.769 0.000 0.000 0.000 4.769 0.000 0.000 0.000 4.769" Properties=species:S:1:pos:R:3 pbc="T T T"
Tc 0.000 0.000 0.000
Os 2.384 2.384 2.384
Cl 0.000 2.384 2.384
Cl 2.384 0.000 2.384
Cl 2.384 2.384 0.000
```

- VASP energy: -4.380 eV per atom
- Polymorph energy (0 for the lowest one): 0 meV per atom

Sequential ΔE_f (raw) output: 1279.7 1111.0 1052.5 -1119.0 -940.4 -1424.3 1000.3 1046.6 meV per atom